# DyAgS (PBE-GGA, optimized geometry)
# - Raw total energy: -4.85 eV/atom
# - Space-group type: C2/m (12)
# - Energy relative to the elements, uncorrected: -0.994 eV/atom
data_DyAgS
_chemical_formula_sum 'Dy4 Ag4 S4'
_cell_length_a 3.7893
_cell_length_b 7.3222
_cell_length_c 10.9472
_cell_angle_alpha 112.33
_cell_angle_beta 99.97
_cell_angle_gamma 90.00
_space_group_name_H-M_alt 'P 1'
_space_group_IT_number 1
_space_group_name_Hall 'P 1'
loop_
_atom_site_label
_atom_site_fract_x
_atom_site_fract_y
_atom_site_fract_z
_atom_site_occupancy
S1 0.1367 0.4000 0.2735 1
S2 0.4961 0.2537 0.9922 1
S3 0.5039 0.7463 0.0078 1
S4 0.8633 0.6000 0.7265 1
Ag1 0.2481 0.6953 0.4961 1
Ag2 0.8083 0.0135 0.6166 1
Ag3 0.7519 0.3047 0.5039 1
Ag4 0.1917 0.9865 0.3834 1
Dy1 0.3967 0.3826 0.7934 1
Dy2 0.5956 0.1105 0.1912 1
Dy3 0.6033 0.6174 0.2066 1
Dy4 0.4044 0.8895 0.8088 1